This record from Alexandria describes a relaxed La3Ce2TmSe6 crystal. The functional is GGA-PBE.

Lattice parameters (Å, degrees): 7.305 12.669 7.352 90.00 109.45 90.00
Space group C2/m (No. 12)
One atom of each set of equivalent atoms:
La  0.000  0.000  0.000 x2
La  0.000  0.330  0.000 x4
Ce  0.000  0.166  0.500 x4
Tm  0.000  0.500  0.500 x2
Se  0.240  0.338  0.736 x8
Se  0.244  0.500  0.261 x4

Output
formation energy without anion corrections	-1.8824	eV/atom
magnetic moment	1.87	μB/f.u.

This record from Alexandria describes a relaxed LaCe4Tm3Se8 crystal. The functional is GGA-PBE.

Lattice parameters (Å, degrees): 8.2590 8.2590 20.5449 90.00 90.00 120.00
Space group R-3m (No. 166, hexagonal axes)
One atom of each set of equivalent atoms:
La  0.0000  0.0000  0.0000 x3
Ce  0.0000  0.0000  0.5000 x3
Ce  0.0000  0.5000  0.5000 x9
Tm  0.0000  0.5000  0.0000 x9
Se  0.0000  0.0000  0.2559 x6
Se  0.0115  0.5057  0.2533 x18

Output
formation energy without anion corrections	-1.7839	eV/atom
magnetic moment	3.93	μB/f.u.

This record from Alexandria describes a relaxed LaCe2TmSe4 crystal. The functional is GGA-PBE.

Lattice parameters (Å, degrees): 7.263 4.158 7.288 90.00 109.04 90.00
Space group P2/m (No. 10)
One atom of each set of equivalent atoms:
La  0.000  0.000  0.000 x1
Ce  0.000  0.500  0.500 x1
Ce  0.500  0.000  0.500 x1
Tm  0.500  0.500  0.000 x1
Se  0.261  0.500  0.248 x2
Se  0.265  0.000  0.760 x2

Output
formation energy without anion corrections	-1.8180	eV/atom
magnetic moment	2.03	μB/f.u.

This record from Alexandria describes a relaxed LaCeTm2Se4 crystal. The functional is GGA-PBE.

Lattice parameters (Å, degrees): 7.085 4.070 7.337 90.00 108.62 90.00
Space group P2/m (No. 10)
One atom of each set of equivalent atoms:
La  0.000  0.000  0.000 x1
Ce  0.500  0.500  0.000 x1
Tm  0.000  0.500  0.500 x1
Tm  0.500  0.000  0.500 x1
Se  0.246  0.000  0.730 x2
Se  0.260  0.500  0.273 x2

Output
formation energy without anion corrections	-1.7976	eV/atom
magnetic moment	1.11	μB/f.u.